# 1
## ZnPd2I (PBE)

Data for ZnPd2I after structural relaxation.

Values from the calculation:
space-group type: Fm-3m
excess energy over the best structure of this formula in the dataset: 0 meV per atom
formation energy from raw total energies: 0.29 eV/f.u.
DOS at the Fermi energy: 0.3405 states/eV per atom
total magnetic moment: 0.000 μB/atom
VASP energy: -12.92 eV for the cell shown

a = 4.7032 Å, b = 4.7032 Å, c = 4.7032 Å
α = 60.00°, β = 60.00°, γ = 60.00°
Element x y z (fractional)
Zn (0.0000, 0.0000, 0.0000)
Pd (0.2500, 0.2500, 0.2500)
Pd (0.7500, 0.7500, 0.7500)
I (0.5000, 0.5000, 0.5000)



# 2
## BaSr15Ca4 (PBE)

Data for BaSr15Ca4 after structural relaxation.

Values from the calculation:
formation energy: 0.011 eV per atom
space-group type: P4/mmm
DOS at the Fermi energy: 1.1928 states/eV per atom
total magnetic moment: 0.000 μB/atom
VASP energy: -34.95 eV for the cell shown

a = 5.9439 Å, b = 5.9439 Å, c = 29.7835 Å
α = 90.00°, β = 90.00°, γ = 90.00°
Element x y z (fractional)
Ba (0.0000, 0.0000, 0.0000)
Sr (0.0000, 0.5000, 0.1067)
Sr (0.0000, 0.5000, 0.3032)
Sr (0.0000, 0.5000, 0.5000)
Sr (0.0000, 0.5000, 0.6968)
Sr (0.0000, 0.5000, 0.8933)
Sr (0.5000, 0.0000, 0.1067)
Sr (0.5000, 0.0000, 0.3032)
Sr (0.5000, 0.0000, 0.5000)
Sr (0.5000, 0.0000, 0.6968)
Sr (0.5000, 0.0000, 0.8933)
Sr (0.5000, 0.5000, 0.0000)
Sr (0.5000, 0.5000, 0.2053)
Sr (0.5000, 0.5000, 0.4015)
Sr (0.5000, 0.5000, 0.5985)
Sr (0.5000, 0.5000, 0.7947)
Ca (0.0000, 0.0000, 0.2048)
Ca (0.0000, 0.0000, 0.4015)
Ca (0.0000, 0.0000, 0.5985)
Ca (0.0000, 0.0000, 0.7952)



# 3
## PmPuGaOs (PBE)

Data for PmPuGaOs after structural relaxation.

Values from the calculation:
formation energy: -0.113 eV per atom
space-group type: F-43m
DOS at the Fermi energy: 1.9304 states/eV per atom
total magnetic moment: 1.229 μB/atom
VASP energy: -33.79 eV for the cell shown

a = 4.9832 Å, b = 4.9832 Å, c = 4.9832 Å
α = 60.00°, β = 60.00°, γ = 60.00°
Element x y z (fractional)
Pm (0.0000, 0.0000, 0.0000)
Pu (0.5000, 0.5000, 0.5000)
Ga (0.7500, 0.7500, 0.7500)
Os (0.2500, 0.2500, 0.2500)



# 4
## PmLuZnSi (PBE)

Data for PmLuZnSi after structural relaxation.

Values from the calculation:
space-group type: F-43m
formation energy from raw total energies: -1.72 eV/f.u.
DOS at the Fermi energy: 0.3341 states/eV per atom
total magnetic moment: 0.000 μB/atom
VASP energy: -17.68 eV for the cell shown

a = 4.9915 Å, b = 4.9915 Å, c = 4.9915 Å
α = 60.00°, β = 60.00°, γ = 60.00°
Element x y z (fractional)
Pm (0.0000, 0.0000, 0.0000)
Lu (0.5000, 0.5000, 0.5000)
Zn (0.2500, 0.2500, 0.2500)
Si (0.7500, 0.7500, 0.7500)



# 5
## NaMg14Sb (PBE)

Data for NaMg14Sb after structural relaxation.

Values from the calculation:
space-group type: Amm2
excess energy over the best structure of this formula in the dataset: 0 meV per atom
formation energy from raw total energies: -0.30 eV/f.u.
DOS at the Fermi energy: 0.5206 states/eV per atom
total magnetic moment: 0.000 μB/atom
VASP energy: -28.06 eV for the cell shown

a = 10.4326 Å, b = 6.4905 Å, c = 6.4905 Å
α = 58.59°, β = 90.00°, γ = 90.00°
Element x y z (fractional)
Na (0.0000, 0.0000, 0.0000)
Mg (0.0000, 0.0020, 0.4946)
Mg (0.0000, 0.4946, 0.0020)
Mg (0.2460, 0.6681, 0.6681)
Mg (0.2521, 0.1644, 0.6640)
Mg (0.2521, 0.6640, 0.1644)
Mg (0.2534, 0.1679, 0.1679)
Mg (0.5000, 0.0016, 0.5049)
Mg (0.5000, 0.0026, 0.0026)
Mg (0.5000, 0.5042, 0.5042)
Mg (0.5000, 0.5049, 0.0016)
Mg (0.7466, 0.1679, 0.1679)
Mg (0.7479, 0.1644, 0.6640)
Mg (0.7479, 0.6640, 0.1644)
Mg (0.7540, 0.6681, 0.6681)
Sb (0.0000, 0.4946, 0.4946)



# 6
## ZrHgSe2 (PBE)

Data for ZrHgSe2 after structural relaxation.

Values from the calculation:
space-group type: R3m
excess energy over the best structure of this formula in the dataset: 466 meV per atom
formation energy from raw total energies: -2.10 eV/f.u.
DOS at the Fermi energy: 0.1445 states/eV per atom
total magnetic moment: 0.000 μB/atom
VASP energy: -17.92 eV for the cell shown

a = 5.4660 Å, b = 5.4660 Å, c = 5.4660 Å
α = 51.62°, β = 51.62°, γ = 51.62°
Element x y z (fractional)
Zr (0.0000, 0.0000, 0.0000)
Hg (0.5558, 0.5558, 0.5558)
Se (0.3371, 0.3371, 0.3371)
Se (0.8000, 0.8000, 0.8000)



# 7
## ScFe (PBE)

Data for ScFe after structural relaxation.

Values from the calculation:
formation energy: 0.209 eV per atom
space-group type: I4/mmm
DOS at the Fermi energy: 0.6328 states/eV per atom
total magnetic moment: 0.000 μB/atom
VASP energy: -57.51 eV for the cell shown

a = 6.7994 Å, b = 6.7994 Å, c = 6.7994 Å
α = 94.37°, β = 94.37°, γ = 147.94°
Element x y z (fractional)
Sc (0.0000, 0.2850, 0.2850)
Sc (0.0000, 0.7150, 0.7150)
Sc (0.2850, 0.0000, 0.2850)
Sc (0.7150, 0.0000, 0.7150)
Fe (0.2852, 0.2852, 0.5704)
Fe (0.2852, 0.7148, 0.0000)
Fe (0.7148, 0.2852, 0.0000)
Fe (0.7148, 0.7148, 0.4296)



# 8
## BaSc4Sn3O12 (PBE)

Data for BaSc4Sn3O12 after structural relaxation.

Values from the calculation:
space-group type: Im-3
formation energy from raw total energies: -49.54 eV/f.u.
DOS at the Fermi energy: 0.4876 states/eV per atom
total magnetic moment: 0.066 μB/atom
VASP energy: -148.30 eV for the cell shown

a = 6.9942 Å, b = 6.9942 Å, c = 6.9942 Å
α = 109.47°, β = 109.47°, γ = 109.47°
Element x y z (fractional)
Ba (0.0000, 0.0000, 0.0000)
Sc (0.0000, 0.0000, 0.5000)
Sc (0.0000, 0.5000, 0.0000)
Sc (0.5000, 0.0000, 0.0000)
Sc (0.5000, 0.5000, 0.5000)
Sn (0.0000, 0.5000, 0.5000)
Sn (0.5000, 0.0000, 0.5000)
Sn (0.5000, 0.5000, 0.0000)
O (0.1229, 0.8145, 0.3083)
O (0.1855, 0.3083, 0.4938)
O (0.1855, 0.6917, 0.8771)
O (0.3083, 0.1229, 0.8145)
O (0.3083, 0.4938, 0.1855)
O (0.4938, 0.1855, 0.3083)
O (0.5062, 0.8145, 0.6917)
O (0.6917, 0.5062, 0.8145)
O (0.6917, 0.8771, 0.1855)
O (0.8145, 0.3083, 0.1229)
O (0.8145, 0.6917, 0.5062)
O (0.8771, 0.1855, 0.6917)



Q: Which of these has the highest VASP energy?
A: ZnPd2I



Q: total magnetic moment of number 3 (PmPuGaOs)?
A: 1.229 μB/atom